Record 1
DFT (PBE) results for a relaxed LiPm2Th crystal.

a b c (Å): 3.6504 3.6504 9.0649
angles (deg): 90.00 90.00 90.00
Last column: nearest neighbours and their distance in Å.
Space group P4/mmm (No. 123)
Symmetry-distinct sites (fractional):
Li  0.0000  0.0000  0.0000  8 Pm 3.36, 4 Li 3.65
Pm  0.5000  0.5000  0.2371  4 Li 3.36, 4 Th 3.51, 4 Pm 3.65
Th  0.0000  0.0000  0.5000  8 Pm 3.51, 4 Th 3.65

Calculated values
- Final energy: -4.67 eV/atom

---

Record 2
DFT (PBE) results for a relaxed LiPmAgCl5 crystal.

a b c (Å): 7.5549 12.8008 10.0283
angles (deg): 90.00 111.98 90.00
Last column: nearest neighbours and their distance in Å.
Space group C2/c (No. 15)
Symmetry-distinct sites (fractional):
Li  0.0000  0.0330  0.2500  4 Cl 2.43
Pm  0.2500  0.2500  0.0000  6 Cl 2.73-2.74
Ag  0.0000  0.3158  0.2500  4 Cl 2.60-2.74
Cl  0.0000  0.3364  0.7500  2 Pm 2.74
Cl  0.0389  0.1569  0.4420  1 Li 2.43
Cl  0.2201  0.4216  0.1525  1 Li 2.43, 1 Ag 2.60

Calculated values
- Final energy: -4.02 eV/atom
- Uncorrected formation energy: -1.676 eV/atom

---

Record 3
DFT (PBE) results for a relaxed ScBeFe crystal.

a b c (Å): 2.9905 2.9905 8.8046
angles (deg): 90.00 90.00 90.00
Last column: nearest neighbours and their distance in Å.
Space group I4mm (No. 107)
Symmetry-distinct sites (fractional):
Sc  0.0000  0.0000  0.0000  5 Be 2.56-2.80, 5 Fe 2.66-2.74
Be  0.0000  0.0000  0.2912  4 Fe 2.27
Fe  0.0000  0.0000  0.6980  4 Be 2.27

Calculated values
- Final energy: -6.24 eV/atom

---

Record 4
DFT (PBE) results for a relaxed Na2SrMg crystal.

a b c (Å): 4.9899 4.9899 25.6230
angles (deg): 90.00 90.00 90.00
Last column: nearest neighbours and their distance in Å.
Space group I-42d (No. 122)
Symmetry-distinct sites (fractional):
Na  0.2144  0.2500  0.1250  2 Na 3.29, 2 Mg 3.60
Sr  0.0000  0.0000  0.5000  4 Mg 3.53, 4 Na 3.72
Mg  0.0000  0.0000  0.0000  4 Sr 3.53, 4 Na 3.60

Calculated values
- Final energy: -1.32 eV/atom

---

Look up the final energy of the second one. -4.02 eV/atom

---

Which value of final energy does entry 4 give? -1.32 eV/atom

---

Which value of final energy does entry 1 give? -4.67 eV/atom